# LaCoRh2, PBEsol geometry, DFT meta-GGA SCAN
# Total magnetization (Bohr magnetons per cell): 2.305
# Space-group type: No. 166
# Formation energy (meV/atom): -347.5
# E_tot (eV for the cell shown): -129.3
data_LaCoRh2
_chemical_formula_sum 'La1 Co1 Rh2'
_cell_length_a 4.209
_cell_length_b 4.209
_cell_length_c 5.419
_cell_angle_alpha 112.81
_cell_angle_beta 90.00
_cell_angle_gamma 120.00
_space_group_name_H-M_alt 'P 1'
_space_group_IT_number 1
_space_group_name_Hall 'P 1'
loop_
_atom_site_label
_atom_site_type_symbol
_atom_site_fract_x
_atom_site_fract_y
_atom_site_fract_z
_atom_site_occupancy
Co1 Co 0.500 0.000 0.000 1
La1 La 0.000 0.000 0.500 1
Rh1 Rh 0.199 0.399 0.098 1
Rh2 Rh 0.801 0.601 0.902 1